[1]
Mn5O8 | PBE+U | relaxed

Lattice parameters (Å, degrees): 10.5045 5.8058 7.2186 90.00 131.85 90.00
Space group C2/m (No. 12)
Unique sites:
Mn  0.0000  0.0000  0.0000
Mn  0.0000  0.2522  0.5000
Mn  0.2321  0.5000  0.9964
O  0.0024  0.5000  0.6850
O  0.0191  0.0000  0.7001
O  0.2113  0.2328  0.1362

The calculation puts the theoretical density at 4.08 g cm⁻³. The uncorrected energy comes out at -192.61 eV/cell.


[2]
Mn2O3 | PBE+U | relaxed

Lattice parameters (Å, degrees): 11.4932 11.4932 11.4932 90.00 90.00 90.00
Space group I2_13 (No. 199)
Unique sites:
Mn  0.0000  0.2500  0.3816
Mn  0.0000  0.2500  0.8893
Mn  0.2338  0.2662  0.7338
O  0.0376  0.4070  0.3492
O  0.1025  0.1683  0.7861

The calculation puts the theoretical density at 2.76 g cm⁻³. The uncorrected energy comes out at -571.34 eV/cell. As for the density of states at the Fermi level: 15.1 states/eV per cell.